PBE MnFeHg2, optimized geometry; calculated formation energy = 185 kJ/mol of formula units; density = 11.9 g cm⁻³; crystal system = trigonal
1.0
9.239 -0.033 -0.020
8.757 2.946 -0.020
8.757 1.417 2.582
Fe Hg Mn
1 2 1
Cartesian
20.065 3.247 1.907 Fe
0.027 0.004 0.003 Hg
13.349 2.160 1.269 Hg
6.688 1.082 0.636 Mn